## Ba2HfPd (SCAN)

Data for a PBEsol-optimized structure of Ba2HfPd.

a b c (Å): 5.5233 5.5233 5.5233
angles (deg): 60.00 60.00 60.00
With the nearest neighbours (Å) after each atom.
Positions (direct):
Ba  0.2500  0.2500  0.2500  4 Pd 3.38, 4 Hf 3.38
Ba  0.7500  0.7500  0.7500  4 Pd 3.38, 4 Hf 3.38
Hf  0.0000  0.0000  0.0000  8 Ba 3.38
Pd  0.5000  0.5000  0.5000  8 Ba 3.38

Properties
DOS at the Fermi energy   1.340 states/eV/atom
DFT total energy   -42.967 eV/atom
Formation energy from the elements   65 kJ/mol of atoms